1.
Density functional theory data (PBE) for NaSc4S6 after structural relaxation.

**Formation energy from raw total energies**: -1810 meV/atom
**Density of states at the Fermi level**: 5.73 states/eV/cell
**E_tot**: -142.63 eV for the cell shown
**Space group**: Cmcm (63)
**Total magnetic moment**: 0.00 μB per formula unit

a = 3.703 Å, b = 6.426 Å, c = 19.502 Å
α = 90.00°, β = 90.00°, γ = 106.75°
Fractional positions:
1 Na 0.655 0.309 0.250
2 Na 0.345 0.691 0.750
3 Sc 0.867 0.735 0.543
4 Sc 0.403 0.807 0.135
5 Sc 0.133 0.265 0.457
6 Sc 0.597 0.193 0.865
7 Sc 0.867 0.735 0.957
8 Sc 0.133 0.265 0.043
9 Sc 0.597 0.193 0.635
10 Sc 0.403 0.807 0.365
11 S 0.500 0.000 0.000
12 S 0.500 0.000 0.500
13 S 0.040 0.080 0.343
14 S 0.960 0.920 0.657
15 S 0.960 0.920 0.843
16 S 0.040 0.080 0.157
17 S 0.774 0.547 0.420
18 S 0.226 0.453 0.580
19 S 0.226 0.453 0.920
20 S 0.774 0.547 0.080
21 S 0.326 0.652 0.250
22 S 0.674 0.348 0.750

2.
Density functional theory data (PBE) for NaScS2 after structural relaxation.

**Formation energy from raw total energies**: -1667 meV/atom
**Density of states at the Fermi level**: 0.00 states/eV/cell
**E_tot**: -22.57 eV for the cell shown
**Space group**: P3m1 (156)
**Total magnetic moment**: 0.00 μB per formula unit

a = 3.807 Å, b = 3.807 Å, c = 7.175 Å
α = 90.00°, β = 90.00°, γ = 120.00°
Fractional positions:
1 Sc 0.000 0.000 0.998
2 Na 0.333 0.667 0.439
3 S 0.333 0.667 0.813
4 S 0.667 0.333 0.206

3.
Density functional theory data (PBE) for NaScS2 after structural relaxation.

**Formation energy from raw total energies**: -1251 meV/atom
**Density of states at the Fermi level**: 0.00 states/eV/cell
**E_tot**: -20.91 eV for the cell shown
**Space group**: Fm-3m (225)
**Total magnetic moment**: 0.00 μB per formula unit

a = 4.660 Å, b = 4.660 Å, c = 4.660 Å
α = 60.00°, β = 60.00°, γ = 60.00°
Fractional positions:
1 Sc 0.500 0.500 0.500
2 Na 0.000 0.000 0.000
3 S 0.250 0.250 0.250
4 S 0.750 0.750 0.750

4.
Density functional theory data (PBE) for Na3ScS after structural relaxation.

**Formation energy from raw total energies**: -11 meV/atom
**Density of states at the Fermi level**: 1.80 states/eV/cell
**E_tot**: -14.47 eV for the cell shown
**Space group**: Pm-3m (221)
**Relative energy among the computed polymorphs**: 0.000 kcal/mol of atoms
**Total magnetic moment**: 1.90 μB per formula unit

a = 5.387 Å, b = 5.387 Å, c = 5.387 Å
α = 90.00°, β = 90.00°, γ = 90.00°
Site moments in Bohr magnetons follow the coordinates.
Fractional positions:
1 Sc 0.500 0.500 0.500  0.95
2 Na 0.000 0.500 0.000  0.01
3 Na 0.000 0.000 0.500  0.02
4 Na 0.500 0.000 0.000  0.00
5 S 0.000 0.000 0.000  0.03

Which formula does entry 2 have? NaScS2